Computed, not measured: crystalline La2HIrRu at its relaxed geometry at the PBE level of DFT.

Properties
Spin magnetization (μB per atom): 0.0000

Unit cell a=5.080 b=5.080 c=3.692 alpha=90.00 beta=90.00 gamma=90.00
Sites, in units of the cell vectors:
La 0.000 0.500 0.000
La 0.500 0.000 0.000
H 0.000 0.000 0.000
Ir 0.500 0.500 0.500
Ru 0.000 0.000 0.500

Computed, not measured: crystalline AlZn2Bi at its relaxed geometry at the PBE level of DFT.

Properties
Formation energy (eV/atom): 0.18
Spin magnetization (μB per atom): 0.0000

Unit cell a=4.332 b=4.332 c=15.664 alpha=90.00 beta=90.00 gamma=120.00
Sites, in units of the cell vectors:
Al 0.000 0.000 0.000
Al 0.333 0.667 0.667
Al 0.667 0.333 0.333
Zn 0.000 0.000 0.278
Zn 0.000 0.000 0.722
Zn 0.333 0.667 0.389
Zn 0.333 0.667 0.944
Zn 0.667 0.333 0.056
Zn 0.667 0.333 0.611
Bi 0.000 0.000 0.500
Bi 0.333 0.667 0.167
Bi 0.667 0.333 0.833

no.,VASP energy (eV/atom)
1,-6.6677
2,-2.3581